VASP calculation (GGA-PBE) on a relaxed SrCaZnHg crystal.

POSCAR file:
```
SrCaZnHg
1.0
-0.483 1.745 -3.426
-3.037 -2.290 -0.738
-4.611 5.075 3.235
Hg Ca Zn Sr
1 1 1 1
Cartesian
-3.860 4.248 2.708
-4.534 2.781 -0.136
-1.740 1.914 1.220
-2.277 0.296 -1.719
```

DFT formation energy ... -0.360 eV/atom
Crystal system ... tetragonal
Total moment ... 0.000 μB/atom
Density ... 5.7 Mg/m³



VASP calculation (GGA-PBE) on a relaxed SrCaZnHg2 crystal.

POSCAR file:
```
SrCaZnHg2
1.0
-5.438 1.496 -1.011
0.742 -0.932 -5.374
-1.632 -5.445 0.719
Ca Hg Zn Sr
1 2 1 1
Cartesian
0.000 0.000 0.000
-0.816 -2.723 0.360
-2.719 0.748 -0.505
0.371 -0.466 -2.687
-3.164 -2.441 -2.833
```

DFT formation energy ... 0.046 eV/atom
Crystal system ... tetragonal
Total moment ... 0.000 μB/atom
Density ... 5.5 Mg/m³



VASP calculation (GGA-PBE) on a relaxed CaTaHg2 crystal.

POSCAR file:
```
CaTaHg2
1.0
-0.843 2.197 -4.479
3.431 -0.395 -3.697
-0.981 -2.844 -4.068
Ta Hg Ca
1 2 1
Cartesian
1.205 -0.782 -9.183
0.000 0.000 0.000
0.402 -0.261 -3.061
0.803 -0.521 -6.122
```

DFT formation energy ... 0.613 eV/atom
Crystal system ... cubic
Total moment ... 0.735 μB/atom
Density ... 11.3 Mg/m³